(1)
MgPaCo after structural relaxation. Source: Alexandria via LeMat-Bulk, functional GGA-PBE.

Properties
ΔE_f: -0.0796 eV per atom
Energy above the most stable polymorph in this dataset: 0.00 eV/f.u.

Cell: 5.4054 9.5305 17.4802 Å, 90.00 90.00 90.00°
Space group Fddd (No. 70, origin choice 2)
One atom of each set of equivalent atoms:
Mg: 0.1250 0.1250 0.0414 x16
Pa: 0.1250 0.2942 0.6250 x16
Co: 0.1250 0.1250 0.5007 x16


(2)
BaCrSn2 after structural relaxation. Source: Alexandria via LeMat-Bulk, functional GGA-PBE.

Properties
ΔE_f: 0.1084 eV per atom

Cell: 7.7132 7.7132 7.7132 Å, 90.00 90.00 90.00°
Space group Fm-3m (No. 225)
One atom of each set of equivalent atoms:
Ba: 0.0000 0.0000 0.0000 x4
Cr: 0.0000 0.0000 0.5000 x4
Sn: 0.2500 0.2500 0.2500 x8


(3)
Tm2MnGa8 after structural relaxation. Source: Alexandria via LeMat-Bulk, functional GGA-PBE.

Properties
ΔE_f: -0.4022 eV per atom

Cell: 4.2131 4.2131 11.2491 Å, 90.00 90.00 90.00°
Space group P4/mmm (No. 123)
One atom of each set of equivalent atoms:
Tm: 0.0000 0.0000 0.1906 x2
Mn: 0.0000 0.0000 0.5000 x1
Ga: 0.0000 0.5000 0.0000 x2
Ga: 0.0000 0.5000 0.3782 x4
Ga: 0.5000 0.5000 0.1906 x2


(4)
Li2SmCd after structural relaxation. Source: Alexandria via LeMat-Bulk, functional GGA-PBE.

Properties
ΔE_f: 0.0287 eV per atom
Energy above the most stable polymorph in this dataset: 0.48 eV/f.u.

Cell: 4.6985 4.6985 4.3683 Å, 90.00 90.00 90.00°
Space group P4/mmm (No. 123)
One atom of each set of equivalent atoms:
Li: 0.0000 0.5000 0.0000 x2
Sm: 0.0000 0.0000 0.5000 x1
Cd: 0.5000 0.5000 0.5000 x1


(5)
BaHgCl2 after structural relaxation. Source: Alexandria via LeMat-Bulk, functional GGA-PBE.

Properties
E_form (uncorrected): -1680 meV/atom
Energy above the most stable polymorph in this dataset: 0.50 eV/f.u.

Cell: 8.6444 8.6444 13.4577 Å, 90.00 90.00 90.00°
Space group I-42d (No. 122)
One atom of each set of equivalent atoms:
Ba: 0.0000 0.0000 0.0000 x4
Hg: 0.0000 0.0000 0.5000 x4
Cl: 0.1279 0.2500 0.1250 x8


(6)
InP2S2 after structural relaxation. Source: Alexandria via LeMat-Bulk, functional GGA-PBE.

Properties
E_form (uncorrected): 65 meV/atom
Energy above the most stable polymorph in this dataset: 0.00 eV/f.u.

Cell: 8.4398 8.4398 3.1480 Å, 90.00 90.00 90.00°
Space group P4/mbm (No. 127)
One atom of each set of equivalent atoms:
In: 0.0000 0.0000 0.0000 x2
P: 0.2393 0.2607 0.0000 x4
S: 0.1375 0.6375 0.5000 x4


no.,E_tot (Ry/atom)
1,-0.4517
2,-0.3513
3,-0.3124
4,-0.1717
5,-0.2322
6,-0.3158